Computed, not measured: a relaxed structure of Pr2GdZn3AgAu2 at the PBE-GGA level of DFT.

Results
Formation energy from the elements in meV per atom: -538

Cell: 3.9461 13.3167 7.7122 Å, 90.00 90.00 90.00°
Space group Amm2 (No. 38)
Asymmetric unit:
Pr1 0.0000 0.2037 0.0000 (multiplicity 4)
Gd1 0.0000 0.0000 0.3889 (multiplicity 2)
Zn1 0.5000 0.0000 0.0533 (multiplicity 2)
Zn2 0.5000 0.1253 0.6664 (multiplicity 4)
Ag1 0.0000 0.0000 0.7912 (multiplicity 2)
Au1 0.5000 0.1621 0.2986 (multiplicity 4)

***

Computed, not measured: a relaxed structure of TbSiGePt2 at the PBE-GGA level of DFT.

Cell: 4.2514 4.2514 10.0347 Å, 90.00 90.00 90.00°
Space group P4/nmm (No. 129, origin choice 2)
Asymmetric unit:
Tb1 0.2500 0.2500 0.2439 (multiplicity 2)
Si1 0.2500 0.7500 0.0000 (multiplicity 2)
Ge1 0.2500 0.2500 0.6394 (multiplicity 2)
Pt1 0.2500 0.2500 0.8849 (multiplicity 2)
Pt2 0.2500 0.7500 0.5000 (multiplicity 2)

***

Computed, not measured: a relaxed structure of ZrFe2 at the PBE-GGA level of DFT.

Results
Formation energy from the elements in meV per atom: -264

Cell: 4.9703 4.9703 8.0775 Å, 90.00 90.00 120.00°
Space group P6_3/mmc (No. 194)
Asymmetric unit:
Zr1 0.3333 0.6667 0.0617 (multiplicity 4)
Fe1 0.0000 0.0000 0.0000 (multiplicity 2)
Fe2 0.1676 0.3352 0.7500 (multiplicity 6)

***

Computed, not measured: a relaxed structure of SbPd15 at the PBE-GGA level of DFT.

Cell: 3.9222 3.9214 44.1126 Å, 90.00 90.00 90.00°
Space group Pmma (No. 51)
Asymmetric unit:
Sb1 0.2500 0.0000 0.1674 (multiplicity 2)
Pd1 0.2500 0.0000 0.2571 (multiplicity 2)
Pd2 0.2500 0.0000 0.3455 (multiplicity 2)
Pd3 0.2500 0.0000 0.4339 (multiplicity 2)
Pd4 0.2500 0.0000 0.5218 (multiplicity 2)
Pd5 0.2500 0.0000 0.6103 (multiplicity 2)
Pd6 0.2500 0.0000 0.6988 (multiplicity 2)
Pd7 0.2500 0.0000 0.7893 (multiplicity 2)
Pd8 0.2500 0.5000 0.2107 (multiplicity 2)
Pd9 0.2500 0.5000 0.3012 (multiplicity 2)
Pd10 0.2500 0.5000 0.3897 (multiplicity 2)
Pd11 0.2500 0.5000 0.4781 (multiplicity 2)
Pd12 0.2500 0.5000 0.5662 (multiplicity 2)
Pd13 0.2500 0.5000 0.6543 (multiplicity 2)
Pd14 0.2500 0.5000 0.7435 (multiplicity 2)
Pd15 0.2500 0.5000 0.8366 (multiplicity 2)

***

E per entry: -64.403, -63.441, -103.828, -164.936 eV for the cell shown